[1]
Density functional theory data (PBE) for Ce5ErOs5 after structural relaxation.

Results
Its formation energy is 0.033 eV/atom. Its space group is No. 12.

Cell lengths 5.463, 6.554, 8.881 Å; angles 109.70, 90.00, 114.64 degrees
Atoms (fractional coordinates):
Ce: 0.676 0.352 0.328
Ce: 0.672 0.344 0.851
Ce: 0.000 0.000 0.500
Ce: 0.328 0.656 0.149
Ce: 0.324 0.648 0.672
Er: 0.000 0.000 0.000
Os: 0.863 0.726 0.192
Os: 0.862 0.724 0.665
Os: 0.500 0.000 0.000
Os: 0.138 0.276 0.335
Os: 0.137 0.274 0.808

[2]
Density functional theory data (PBE) for Ce3ErOs2 after structural relaxation.

Results
Its formation energy is -0.145 eV/atom. Its space group is No. 12.

Cell lengths 4.040, 8.646, 9.300 Å; angles 114.40, 90.00, 103.51 degrees
Atoms (fractional coordinates):
Ce: 0.278 0.557 0.618
Ce: 0.947 0.894 0.621
Ce: 0.633 0.267 0.732
Ce: 0.367 0.733 0.268
Ce: 0.053 0.106 0.379
Ce: 0.722 0.443 0.382
Er: 0.890 0.780 0.966
Er: 0.110 0.220 0.034
Os: 0.472 0.945 0.831
Os: 0.528 0.055 0.169
Os: 0.759 0.517 0.105
Os: 0.241 0.483 0.895

[3]
Density functional theory data (PBE) for CeEr2Os after structural relaxation.

Results
Its formation energy is -0.219 eV/atom. Its space group is No. 63. As for the excess energy over the best structure of this formula in the dataset: 0.0358 eV/atom.

Cell lengths 3.842, 6.308, 9.210 Å; angles 90.00, 90.00, 107.72 degrees
Site moments in Bohr magnetons follow the coordinates.
Atoms (fractional coordinates):
Ce: 0.421 0.843 0.250  0.36
Ce: 0.579 0.157 0.750  0.36
Er: 0.145 0.290 0.432  0.06
Er: 0.855 0.710 0.568  0.06
Er: 0.855 0.710 0.932  0.06
Er: 0.145 0.290 0.068  0.06
Os: 0.764 0.529 0.250  -0.03
Os: 0.236 0.471 0.750  -0.03